This record from the Alexandria database describes Be2NiPb after structural relaxation. The functional is PBE.

```
data_Be2NiPb
_cell_length_a 3.826
_cell_length_b 3.826
_cell_length_c 3.686
_cell_angle_alpha 90.00
_cell_angle_beta 90.00
_cell_angle_gamma 90.00
_symmetry_space_group_name_H-M 'P 1'
_symmetry_Int_Tables_number 1
loop_
_symmetry_equiv_pos_as_xyz
'x,y,z'
loop_
_atom_site_label
_atom_site_type_symbol
_atom_site_fract_x
_atom_site_fract_y
_atom_site_fract_z
_atom_site_occupancy
Be1 Be 0.000 0.500 0.000 1
Be2 Be 0.500 0.000 0.000 1
Ni1 Ni 0.000 0.000 0.500 1
Pb1 Pb 0.500 0.500 0.500 1
```

Spin magnetization in μB/f.u.: 0.00
Calculated volume in A^3/atom: 13.492
Density of states at the Fermi level in states/eV per cell: 1.840
Calculated formation energy in eV/atom: 0.4540